YWN2F | PBE with a Hubbard U | optimized geometry

Energy above the lowest structure with this stoichiometry in meV per atom: 0

Structure (POSCAR):
```
YWN2F
1.0
-0.292 2.096 3.568
-1.167 -3.473 1.944
3.852 -0.841 0.809
Y N W F
1 2 1 1
Direct
0.500 0.500 0.500
0.000 0.500 0.000
0.500 0.000 0.000
0.000 0.000 0.000
0.000 0.000 0.500
```